1.
A relaxed structure of LaAsPb2, computed with PBE. Values from VASP.

Offset from the most stable computed form   0.22 eV/f.u.
Formation energy from the elements   -198 kJ/mol of formula units
DOS(E_F)   0.844 states/eV/atom
Spin magnetization   0.0 Bohr magnetons per cell
Volume   28.00 Å³/atom

```
&SYSTEM
  ibrav = 0, nat = 4, ntyp = 3
/
ATOMIC_SPECIES
La 138.91 La.upf
As 74.92 As.upf
Pb 207.20 Pb.upf
CELL_PARAMETERS angstrom
4.5661 0.0000 0.0000
0.0000 4.5661 0.0000
0.0000 0.0000 5.3722
ATOMIC_POSITIONS crystal
La 0.0000 0.0000 0.0000
As 0.5000 0.5000 0.0000
Pb 0.0000 0.5000 0.5000
Pb 0.5000 0.0000 0.5000
```

=====

2.
A relaxed structure of LaAsPb2, computed with PBE. Values from VASP.

Offset from the most stable computed form   0.92 eV/f.u.
Formation energy from the elements   -130 kJ/mol of formula units
DOS(E_F)   0.722 states/eV/atom
Spin magnetization   0.0 Bohr magnetons per cell
Volume   28.76 Å³/atom

```
&SYSTEM
  ibrav = 0, nat = 4, ntyp = 3
/
ATOMIC_SPECIES
La 138.91 La.upf
As 74.92 As.upf
Pb 207.20 Pb.upf
CELL_PARAMETERS angstrom
0.0000 3.8600 3.8600
3.8600 0.0000 3.8600
3.8600 3.8600 0.0000
ATOMIC_POSITIONS crystal
La 0.0000 0.0000 0.0000
As 0.2500 0.2500 0.2500
Pb 0.5000 0.5000 0.5000
Pb 0.7500 0.7500 0.7500
```

=====

3.
A relaxed structure of La2AsPb, computed with PBE. Values from VASP.

Offset from the most stable computed form   0.37 eV/f.u.
Formation energy from the elements   -378 kJ/mol of formula units
DOS(E_F)   0.676 states/eV/atom
Spin magnetization   0.0 Bohr magnetons per cell
Volume   32.87 Å³/atom

```
&SYSTEM
  ibrav = 0, nat = 4, ntyp = 3
/
ATOMIC_SPECIES
La 138.91 La.upf
As 74.92 As.upf
Pb 207.20 Pb.upf
CELL_PARAMETERS angstrom
2.1009 1.2130 8.5984
-2.1009 1.2130 8.5984
0.0000 -2.4259 8.5984
ATOMIC_POSITIONS crystal
La 0.0000 0.0000 0.0000
La 0.1958 0.1958 0.1958
As 0.5974 0.5974 0.5974
Pb 0.7652 0.7652 0.7652
```

=====

Which value of DOS(E_F) does entry 3 give? 0.676 states/eV/atom